No. 1
A relaxed structure of ErP2Ir8. Source: OQMD via LeMat-Bulk, functional PBE-GGA.

## Properties
Raw total energy   -8.27 eV/atom
Symmetry   C2/m (12)

Lattice parameters (Å, degrees): 6.1678 6.1678 9.0718 123.88 123.88 37.29
With the nearest neighbours (Å) after each atom.
Element x y z (fractional)
P1 0.0584 0.0584 0.8063  5 Ir 2.22-2.36
Er1 0.5000 0.5000 0.0000  4 P 2.98, 10 Ir 3.07-3.30
Ir1 0.2376 0.2376 0.1005  1 P 2.22
Ir2 0.8454 0.8454 0.3583  1 P 2.34
Ir3 0.1872 0.1872 0.3587  1 P 2.33
P2 0.9416 0.9416 0.1937  5 Ir 2.22-2.36
Ir4 0.4737 0.4737 0.6304  2 P 2.36
Ir5 0.1546 0.1546 0.6417  1 P 2.34
Ir6 0.5263 0.5263 0.3696  2 P 2.36
Ir7 0.8128 0.8128 0.6413  1 P 2.33
Ir8 0.7624 0.7624 0.8995  1 P 2.22


No. 2
A relaxed structure of ErPaIr. Source: OQMD via LeMat-Bulk, functional PBE-GGA.

## Properties
Raw total energy   -8.02 eV/atom
Energy of formation from the pure elements   -381.0 meV/atom
Symmetry   F-43m (216)

Lattice parameters (Å, degrees): 4.7797 4.7797 4.7797 60.00 60.00 60.00
With the nearest neighbours (Å) after each atom.
Element x y z (fractional)
Er1 0.7500 0.7500 0.7500  4 Ir 2.93
Ir1 0.0000 0.0000 0.0000  4 Pa 2.93, 4 Er 2.93
Pa1 0.2500 0.2500 0.2500  4 Ir 2.93


No. 3
A relaxed structure of Er2IrPb. Source: OQMD via LeMat-Bulk, functional PBE-GGA.

## Properties
Raw total energy   -6.11 eV/atom
Symmetry   P4/mmm (123)

Lattice parameters (Å, degrees): 3.4330 3.4330 8.1109 90.00 90.00 90.00
With the nearest neighbours (Å) after each atom.
Element x y z (fractional)
Pb1 0.0000 0.0000 0.5000  8 Er 3.41, 4 Pb 3.43
Er1 0.5000 0.5000 0.7961  4 Ir 2.94
Ir1 0.0000 0.0000 0.0000  8 Er 2.94
Er2 0.5000 0.5000 0.2039  4 Ir 2.94


No. 4
A relaxed structure of Y2ErIrPd2Pb3. Source: OQMD via LeMat-Bulk, functional PBE-GGA.

## Properties
Raw total energy   -5.99 eV/atom
Symmetry   Amm2 (38)

Lattice parameters (Å, degrees): 3.8803 7.7795 7.7795 119.88 90.00 90.00
With the nearest neighbours (Å) after each atom.
Element x y z (fractional)
Ir1 0.0000 0.9977 0.9977  6 Pb 2.83-2.85, 1 Er 3.07, 2 Y 3.09
Pb1 0.5000 0.7341 0.0002  2 Ir 2.83, 2 Pd 2.88-2.92
Y1 0.0000 0.3964 0.0000  4 Pd 3.09, 1 Ir 3.09, 6 Pb 3.26-3.35
Pd1 0.5000 0.3364 0.6660  3 Pb 2.88-2.92, 2 Er 3.05, 4 Y 3.09
Er1 0.0000 0.6042 0.6042  4 Pd 3.05, 1 Ir 3.07, 6 Pb 3.28-3.34
Y2 0.0000 0.0000 0.3964  4 Pd 3.09, 1 Ir 3.09, 6 Pb 3.26-3.35
Pb2 0.5000 0.2650 0.2650  2 Ir 2.85, 2 Pd 2.88
Pb3 0.5000 0.0002 0.7341  2 Ir 2.83, 2 Pd 2.88-2.92
Pd2 0.5000 0.6660 0.3364  3 Pb 2.88-2.92, 2 Er 3.05, 4 Y 3.09


No. 5
A relaxed structure of Er3Sn3Ir2Pd. Source: OQMD via LeMat-Bulk, functional PBE-GGA.

## Properties
Raw total energy   -6.27 eV/atom
Symmetry   P-62m (189)

Lattice parameters (Å, degrees): 7.5912 7.5912 3.8000 90.00 90.00 120.00
With the nearest neighbours (Å) after each atom.
Element x y z (fractional)
Ir1 0.6667 0.3333 0.5000  3 Sn 2.81, 6 Er 2.99
Er1 0.0000 0.4055 0.0000  4 Ir 2.99, 1 Pd 3.08, 6 Sn 3.12-3.31
Sn1 0.0000 0.7320 0.5000  2 Pd 2.78, 2 Ir 2.81
Sn2 0.7320 0.0000 0.5000  2 Pd 2.78, 2 Ir 2.81
Sn3 0.2680 0.2680 0.5000  2 Pd 2.78, 2 Ir 2.81
Pd1 0.0000 0.0000 0.0000  6 Sn 2.78, 3 Er 3.08
Er2 0.4055 0.0000 0.0000  4 Ir 2.99, 1 Pd 3.08, 6 Sn 3.12-3.31
Er3 0.5945 0.5945 0.0000  4 Ir 2.99, 1 Pd 3.08, 6 Sn 3.12-3.31
Ir2 0.3333 0.6667 0.5000  3 Sn 2.81, 6 Er 2.99


No. 6
A relaxed structure of Er3Sn3IrPd2. Source: OQMD via LeMat-Bulk, functional PBE-GGA.

## Properties
Raw total energy   -5.91 eV/atom
Symmetry   P-62m (189)

Lattice parameters (Å, degrees): 7.5287 7.5287 3.9225 90.00 90.00 120.00
With the nearest neighbours (Å) after each atom.
Element x y z (fractional)
Er1 0.6000 0.6000 0.0000  1 Ir 3.01, 4 Pd 3.02, 6 Sn 3.22-3.29
Sn1 0.2600 0.2600 0.5000  2 Ir 2.77, 2 Pd 2.83
Er2 0.0000 0.4000 0.0000  1 Ir 3.01, 4 Pd 3.02, 6 Sn 3.22-3.29
Pd1 0.3333 0.6667 0.5000  3 Sn 2.83, 6 Er 3.02
Er3 0.4000 0.0000 0.0000  1 Ir 3.01, 4 Pd 3.02, 6 Sn 3.22-3.29
Sn2 0.7400 0.0000 0.5000  2 Ir 2.77, 2 Pd 2.83
Pd2 0.6667 0.3333 0.5000  3 Sn 2.83, 6 Er 3.02
Ir1 0.0000 0.0000 0.0000  6 Sn 2.77, 3 Er 3.01
Sn3 0.0000 0.7400 0.5000  2 Ir 2.77, 2 Pd 2.83


No. 7
A relaxed structure of Tb2ErSn3Ir2Pd. Source: OQMD via LeMat-Bulk, functional PBE-GGA.

## Properties
Raw total energy   -6.28 eV/atom
Symmetry   Amm2 (38)

Lattice parameters (Å, degrees): 3.9124 7.5522 7.5522 119.88 90.00 90.00
With the nearest neighbours (Å) after each atom.
Element x y z (fractional)
Ir1 0.5000 0.3354 0.6659  3 Sn 2.81-2.84, 2 Er 2.99, 4 Tb 3.01-3.02
Tb1 0.0000 0.4105 0.0004  4 Ir 3.01-3.02, 1 Pd 3.11, 6 Sn 3.14-3.36
Pd1 0.0000 0.9981 0.9981  6 Sn 2.79-2.81, 1 Er 3.09, 2 Tb 3.11
Er1 0.0000 0.5898 0.5898  4 Ir 2.99, 1 Pd 3.09, 6 Sn 3.15-3.35
Sn1 0.5000 0.7361 0.9998  2 Pd 2.79, 2 Ir 2.81-2.84
Tb2 0.0000 0.0004 0.4105  4 Ir 3.01-3.02, 1 Pd 3.11, 6 Sn 3.14-3.36
Sn2 0.5000 0.9998 0.7361  2 Pd 2.79, 2 Ir 2.81-2.84
Ir2 0.5000 0.6659 0.3354  3 Sn 2.81-2.84, 2 Er 2.99, 4 Tb 3.01-3.02
Sn3 0.5000 0.2641 0.2641  2 Ir 2.81, 2 Pd 2.81


No. 8
A relaxed structure of ErTm2Sn3IrPd2. Source: OQMD via LeMat-Bulk, functional PBE-GGA.

## Properties
Raw total energy   -5.89 eV/atom
Symmetry   Amm2 (38)

Lattice parameters (Å, degrees): 3.8175 7.6024 7.6024 120.03 90.00 90.00
With the nearest neighbours (Å) after each atom.
Element x y z (fractional)
Tm1 0.0000 0.0000 0.3981  4 Pd 3.01, 1 Ir 3.02, 6 Sn 3.21-3.28
Ir1 0.0000 0.0006 0.0006  6 Sn 2.76, 2 Tm 3.02, 1 Er 3.03
Sn1 0.5000 0.0002 0.7376  2 Ir 2.76, 2 Pd 2.83-2.84
Sn2 0.5000 0.2626 0.2626  2 Ir 2.76, 2 Pd 2.85
Er1 0.0000 0.6015 0.6015  4 Pd 3.02, 1 Ir 3.03, 6 Sn 3.21-3.28
Sn3 0.5000 0.7376 0.0002  2 Ir 2.76, 2 Pd 2.83-2.84
Pd1 0.5000 0.3325 0.6670  3 Sn 2.83-2.85, 4 Tm 3.01, 2 Er 3.02
Pd2 0.5000 0.6670 0.3325  3 Sn 2.83-2.85, 4 Tm 3.01, 2 Er 3.02
Tm2 0.0000 0.3981 0.0000  4 Pd 3.01, 1 Ir 3.02, 6 Sn 3.21-3.28


No. 9
A relaxed structure of Er2TmSn3Ir2Pd. Source: OQMD via LeMat-Bulk, functional PBE-GGA.

## Properties
Raw total energy   -6.26 eV/atom
Symmetry   Amm2 (38)

Lattice parameters (Å, degrees): 3.7920 7.5905 7.5905 119.95 90.00 90.00
With the nearest neighbours (Å) after each atom.
Element x y z (fractional)
Sn1 0.5000 0.7316 0.7316  2 Pd 2.79, 2 Ir 2.81, 2 Tm 3.12
Pd1 0.0000 0.0005 0.0005  6 Sn 2.78-2.79, 1 Tm 3.08, 2 Er 3.08
Sn2 0.5000 0.0001 0.2683  2 Pd 2.78, 2 Ir 2.81-2.82
Ir1 0.5000 0.3335 0.6659  3 Sn 2.81-2.82, 2 Tm 2.98, 4 Er 2.99
Ir2 0.5000 0.6659 0.3335  3 Sn 2.81-2.82, 2 Tm 2.98, 4 Er 2.99
Er1 0.0000 0.9999 0.5943  4 Ir 2.99, 1 Pd 3.08, 6 Sn 3.12-3.31
Tm1 0.0000 0.4056 0.4056  4 Ir 2.98, 1 Pd 3.08, 6 Sn 3.12-3.31
Sn3 0.5000 0.2683 0.0001  2 Pd 2.78, 2 Ir 2.81-2.82
Er2 0.0000 0.5943 0.9999  4 Ir 2.99, 1 Pd 3.08, 6 Sn 3.12-3.31


No. 10
A relaxed structure of Y2ErSn3IrPd2. Source: OQMD via LeMat-Bulk, functional PBE-GGA.

## Properties
Raw total energy   -6.33 eV/atom
Symmetry   Amm2 (38)

Lattice parameters (Å, degrees): 3.8566 7.6302 7.6302 119.92 90.00 90.00
With the nearest neighbours (Å) after each atom.
Element x y z (fractional)
Sn1 0.5000 0.7390 0.9998  2 Ir 2.77, 2 Pd 2.85-2.89
Sn2 0.5000 0.9998 0.7390  2 Ir 2.77, 2 Pd 2.85-2.89
Pd1 0.5000 0.3365 0.6659  3 Sn 2.85-2.89, 2 Er 3.01, 4 Y 3.04
Pd2 0.5000 0.6659 0.3365  3 Sn 2.85-2.89, 2 Er 3.01, 4 Y 3.04
Ir1 0.0000 0.9978 0.9978  6 Sn 2.77-2.78, 1 Er 3.03, 2 Y 3.05
Y1 0.0000 0.0000 0.3992  4 Pd 3.04, 1 Ir 3.05, 6 Sn 3.23-3.30
Y2 0.0000 0.3992 0.0000  4 Pd 3.04, 1 Ir 3.05, 6 Sn 3.23-3.30
Er1 0.0000 0.6015 0.6015  4 Pd 3.01, 1 Ir 3.03, 6 Sn 3.24-3.30
Sn3 0.5000 0.2601 0.2601  2 Ir 2.78, 2 Pd 2.85


No. 11
A relaxed structure of Y2ErSn3Ir2Pd. Source: OQMD via LeMat-Bulk, functional PBE-GGA.

## Properties
Raw total energy   -6.69 eV/atom
Symmetry   Amm2 (38)

Lattice parameters (Å, degrees): 3.8238 7.6160 7.6160 119.89 90.00 90.00
With the nearest neighbours (Å) after each atom.
Element x y z (fractional)
Pd1 0.0000 0.9975 0.9975  6 Sn 2.78-2.80, 1 Er 3.09, 2 Y 3.11
Ir1 0.5000 0.6660 0.3369  3 Sn 2.82-2.85, 2 Er 2.97, 4 Y 3.01
Ir2 0.5000 0.3369 0.6660  3 Sn 2.82-2.85, 2 Er 2.97, 4 Y 3.01
Y1 0.0000 0.4073 0.0005  4 Ir 3.01, 1 Pd 3.11, 6 Sn 3.14-3.33
Sn1 0.5000 0.2656 0.2656  2 Pd 2.80, 2 Ir 2.82
Er1 0.0000 0.5919 0.5919  4 Ir 2.97, 1 Pd 3.09, 2 Sn 3.14
Y2 0.0000 0.0005 0.4073  4 Ir 3.01, 1 Pd 3.11, 6 Sn 3.14-3.33
Sn2 0.5000 0.7336 0.0005  2 Pd 2.78, 2 Ir 2.82-2.85
Sn3 0.5000 0.0005 0.7336  2 Pd 2.78, 2 Ir 2.82-2.85


No. 12
A relaxed structure of YEr2Sn3Ir2Pd. Source: OQMD via LeMat-Bulk, functional PBE-GGA.

## Properties
Raw total energy   -6.48 eV/atom
Symmetry   Amm2 (38)

Lattice parameters (Å, degrees): 3.8055 7.6237 7.6237 120.12 90.00 90.00
With the nearest neighbours (Å) after each atom.
Element x y z (fractional)
Er1 0.0000 0.9994 0.4061  4 Ir 2.98, 1 Pd 3.09, 6 Sn 3.14-3.33
Er2 0.0000 0.4061 0.9994  4 Ir 2.98, 1 Pd 3.09, 6 Sn 3.14-3.33
Sn1 0.5000 0.7332 0.9999  2 Pd 2.79, 2 Ir 2.80-2.84
Y1 0.0000 0.5944 0.5944  4 Ir 3.02, 1 Pd 3.10, 6 Sn 3.13-3.32
Sn2 0.5000 0.9999 0.7332  2 Pd 2.79, 2 Ir 2.80-2.84
Pd1 0.0000 0.0022 0.0022  6 Sn 2.77-2.79, 2 Er 3.09, 1 Y 3.10
Sn3 0.5000 0.2675 0.2675  2 Pd 2.77, 2 Ir 2.84
Ir1 0.5000 0.3300 0.6672  3 Sn 2.80-2.84, 4 Er 2.98, 2 Y 3.02
Ir2 0.5000 0.6672 0.3300  3 Sn 2.80-2.84, 4 Er 2.98, 2 Y 3.02